Model a:
{"formula": "AsPWCl2", "functional": "PBE", "state": "optimized geometry", "spacegroup": "No. 123", "magmom_total_mub_per_atom": 0.534, "lattice_angstrom": [[-2.7389, -2.2845, -3.1101], [2.0826, -4.0858, 1.1672], [-3.3812, -0.7215, 3.5076]], "species": ["P", "As", "W", "Cl", "Cl"], "fractional_positions": [[0.0000, 0.0000, 0.5000], [0.5000, 0.5000, 0.5000], [0.0000, 0.0000, 0.0000], [0.0000, 0.5000, 0.0000], [0.5000, 0.0000, 0.0000]]}



Model b:
{"formula": "AsPWCl2", "functional": "PBE", "state": "optimized geometry", "spacegroup": "No. 123", "magmom_total_mub_per_atom": 0.797, "lattice_angstrom": [[4.6794, 0.0000, 0.0000], [0.0000, 4.6794, 0.0000], [0.0000, 0.0000, 5.3327]], "species": ["P", "As", "W", "Cl", "Cl"], "fractional_positions": [[0.0000, 0.0000, 0.5000], [0.0000, 0.0000, 0.0000], [0.5000, 0.5000, 0.5000], [0.0000, 0.5000, 0.0000], [0.5000, 0.0000, 0.0000]]}



The least stable of them is model b.



Model a:
{"formula": "ZrAsPCl2", "functional": "PBE", "state": "optimized geometry", "spacegroup": "No. 123", "magmom_total_mub_per_atom": 0.318, "lattice_angstrom": [[-0.3228, 4.7226, -0.0454], [-4.2336, -0.2692, 2.1008], [2.2800, 0.2003, 4.6204]], "species": ["P", "As", "Zr", "Cl", "Cl"], "fractional_positions": [[0.0000, 0.0000, 0.5000], [0.0000, 0.0000, 0.0000], [0.5000, 0.5000, 0.5000], [0.0000, 0.5000, 0.0000], [0.5000, 0.0000, 0.0000]]}



Model b:
{"formula": "ZrAsPCl2", "functional": "PBE", "state": "optimized geometry", "spacegroup": "No. 123", "magmom_total_mub_per_atom": 0.373, "lattice_angstrom": [[-4.7640, 0.0810, 1.0805], [0.9596, -3.1736, 4.4689], [0.6813, 4.0124, 2.7031]], "species": ["P", "As", "Zr", "Cl", "Cl"], "fractional_positions": [[0.5000, 0.5000, 0.5000], [0.0000, 0.5000, 0.0000], [0.0000, 0.0000, 0.0000], [0.0000, 0.0000, 0.5000], [0.5000, 0.0000, 0.0000]]}



The least stable of them is model a.



Model a:
{"formula": "PaAsCl", "functional": "PBE", "state": "optimized geometry", "spacegroup": "No. 8", "magmom_total_mub_per_atom": 0.240, "lattice_angstrom": [[3.8792, 0.2310, 0.2088], [1.5132, 6.5309, 0.9310], [1.5039, 1.0446, 7.1839]], "species": ["Cl", "Cl", "As", "As", "Pa", "Pa"], "fractional_positions": [[0.0750, 0.9514, 0.1578], [0.6395, 0.5033, 0.4770], [0.2830, 0.0394, 0.6538], [0.9164, 0.4989, 0.9275], [0.9621, 0.7697, 0.5654], [0.5928, 0.2002, 0.8733]]}



Model b:
{"formula": "PaAsCl", "functional": "PBE", "state": "optimized geometry", "spacegroup": "No. 11", "magmom_total_mub_per_atom": 0.201, "lattice_angstrom": [[4.0735, -0.0003, 0.0042], [0.0003, 4.0713, 0.0000], [1.9238, -0.0002, 11.8143]], "species": ["Pa", "Pa", "As", "As", "Cl", "Cl"], "fractional_positions": [[0.5028, 0.0723, 0.4320], [0.1331, 0.5723, 0.1564], [0.6222, 0.0723, 0.1791], [0.0136, 0.5723, 0.4092], [0.4036, 0.0723, 0.6431], [0.2334, 0.5723, 0.9453]]}



Model c:
{"formula": "PaAsCl", "functional": "PBE", "state": "optimized geometry", "spacegroup": "No. 187", "magmom_total_mub_per_atom": 0.320, "lattice_angstrom": [[3.7272, 0.0000, 0.0000], [0.0000, 4.6138, 0.0000], [0.0000, -2.3069, 3.9957]], "species": ["As", "Pa", "Cl"], "fractional_positions": [[0.6668, 0.3333, 0.6667], [0.1667, 0.6667, 0.3333], [0.1665, 0.0000, 0.0000]]}



The least stable of them is model c.